Record 1
## Pm2Mg5Pd4 (PBE-GGA)

Data for a relaxed structure of Pm2Mg5Pd4.

The structure in POSCAR format:
```
Pm2Mg5Pd4
1.0
-5.430 1.829 0.451
-4.301 -3.389 -1.415
-3.031 -1.962 8.079
Pm Mg Pd
2 5 4
Direct
0.864 0.000 0.272
0.136 0.000 0.728
0.500 0.000 0.000
0.000 0.500 0.000
0.500 0.500 0.000
0.250 0.500 0.500
0.750 0.500 0.500
0.477 0.307 0.740
0.523 0.693 0.260
0.216 0.307 0.260
0.784 0.693 0.740
```

Output
The calculation puts the total energy at -3.989 eV/atom. The total moment comes out at 0.00 μB/f.u. Its volume is 234.3 Å³ per cell. The calculation puts the density at 5.9 g/cm3.



Record 2
## LiLa2AlFe (PBE-GGA)

Data for a relaxed structure of LiLa2AlFe.

The structure in POSCAR format:
```
LiLa2AlFe
1.0
-3.671 3.539 1.140
-1.627 -0.089 -4.964
-3.076 -3.535 1.071
Al Li Fe La
1 1 1 2
Direct
0.000 0.000 0.500
0.500 0.500 0.500
0.000 0.000 0.000
0.000 0.500 0.000
0.500 0.000 0.000
```

Output
The calculation puts the total energy at -4.865 eV/atom. The total moment comes out at 0.00 μB/f.u. Its volume is 131.2 Å³ per cell. The calculation puts the density at 4.7 g/cm3.



Record 3
## Tb4Al2Hg5 (PBE-GGA)

Data for a relaxed structure of Tb4Al2Hg5.

The structure in POSCAR format:
```
Tb4Al2Hg5
1.0
3.688 0.000 0.000
0.000 7.893 0.187
0.000 0.323 9.415
Tb Al Hg
4 2 5
Direct
0.500 0.745 0.612
0.500 0.209 0.861
0.500 0.255 0.388
0.500 0.791 0.139
0.000 0.067 0.621
0.000 0.933 0.379
0.000 0.585 0.354
0.000 0.131 0.129
0.000 0.500 0.000
0.000 0.869 0.871
0.000 0.415 0.646
```

Output
The calculation puts the total energy at -2.899 eV/atom. The total moment comes out at 0.00 μB/f.u. Its volume is 273.9 Å³ per cell. The calculation puts the density at 10.3 g/cm3.



Record 4
## TbY2Lu (PBE-GGA)

Data for a relaxed structure of TbY2Lu.

The structure in POSCAR format:
```
TbY2Lu
1.0
-1.918 2.251 -4.050
-4.621 -0.743 1.775
0.197 4.411 2.359
Y Lu Tb
2 1 1
Direct
0.000 0.000 0.500
0.000 0.500 0.000
0.500 0.000 0.000
0.500 0.500 0.500
```

Output
The calculation puts the total energy at -5.491 eV/atom. The total moment comes out at 0.00 μB/f.u. Its volume is 125.7 Å³ per cell. The calculation puts the density at 6.8 g/cm3.



Record 5
## HfMgPb3 (PBE-GGA)

Data for a relaxed structure of HfMgPb3.

The structure in POSCAR format:
```
HfMgPb3
1.0
-0.519 5.204 1.218
-1.046 -1.299 5.105
5.242 0.256 1.139
Pb Mg Hf
3 1 1
Direct
0.000 0.500 0.000
0.000 0.000 0.500
0.500 0.000 0.000
0.000 0.000 0.000
0.500 0.500 0.500
```

Output
The calculation puts the total energy at -3.713 eV/atom. The total moment comes out at 0.00 μB/f.u. Its volume is 154.9 Å³ per cell. The calculation puts the density at 8.8 g/cm3.



Record 6
## YNi3Ir (PBE-GGA)

Data for a relaxed structure of YNi3Ir.

The structure in POSCAR format:
```
YNi3Ir
1.0
4.820 0.000 0.000
0.000 9.173 0.000
-2.410 -4.586 3.385
Y Ni Ir
2 6 2
Direct
0.250 0.244 0.500
0.750 0.756 0.500
0.810 0.310 0.121
0.310 0.310 0.121
0.690 0.690 0.879
0.190 0.690 0.879
0.250 0.948 0.500
0.750 0.052 0.500
0.000 0.500 0.000
0.500 0.000 0.000
```

Output
The calculation puts the total energy at -6.777 eV/atom. The total moment comes out at 0.89 μB/f.u. Its volume is 149.6 Å³ per cell. The calculation puts the density at 10.1 g/cm3.



Record 7
## SrAgCl6 (PBE-GGA)

Data for a relaxed structure of SrAgCl6.

The structure in POSCAR format:
```
SrAgCl6
1.0
-1.252 -0.193 5.626
3.420 -6.982 6.108
4.042 2.723 0.782
Sr Ag Cl
1 1 6
Direct
0.500 0.500 0.500
0.000 0.000 0.000
0.998 0.498 0.750
0.712 0.994 0.630
0.696 0.291 0.006
0.288 0.006 0.370
0.002 0.502 0.250
0.304 0.709 0.994
```

Output
The calculation puts the total energy at -2.885 eV/atom. The formation energy without anion corrections is -7.5 eV per formula unit. The total moment comes out at 0.28 μB/f.u. Its volume is 234.5 Å³ per cell. The calculation puts the density at 2.9 g/cm3.



Record 8
## Sc2TlRe (PBE-GGA)

Data for a relaxed structure of Sc2TlRe.

The structure in POSCAR format:
```
Sc2TlRe
1.0
1.766 0.000 10.402
-0.883 1.529 10.402
-0.883 -1.529 10.402
Sc Re Tl
2 1 1
Direct
0.918 0.918 0.918
0.082 0.082 0.082
0.000 0.000 0.000
0.500 0.500 0.500
```

Output
The calculation puts the total energy at -6.358 eV/atom. The total moment comes out at 0.00 μB/f.u. Its volume is 84.2 Å³ per cell. The calculation puts the density at 9.5 g/cm3.



Record 9
## Tm3MgIn3Te8 (PBE-GGA)

Data for a relaxed structure of Tm3MgIn3Te8.

The structure in POSCAR format:
```
Tm3MgIn3Te8
1.0
8.680 -0.001 -0.001
-4.341 7.517 -0.029
0.000 -4.985 7.644
Tm Mg In Te
3 1 3 8
Direct
0.500 0.000 0.500
0.500 0.500 0.500
0.000 0.500 0.500
0.000 0.000 0.500
0.000 0.000 0.000
0.000 0.500 0.000
0.500 0.500 0.000
0.256 0.513 0.269
0.744 0.487 0.731
0.761 0.523 0.276
0.239 0.477 0.724
0.762 0.015 0.277
0.238 0.985 0.723
0.253 0.015 0.276
0.747 0.985 0.724
```

Output
The calculation puts the total energy at -4.046 eV/atom. The formation energy without anion corrections is -12.3 eV per formula unit. The total moment comes out at 0.00 μB/f.u. Its volume is 497.5 Å³ per cell. The calculation puts the density at 6.3 g/cm3.



Record 10
## Sm2PuAu4 (PBE-GGA)

Data for a relaxed structure of Sm2PuAu4.

The structure in POSCAR format:
```
Sm2PuAu4
1.0
-4.357 4.255 -1.190
3.621 -0.852 -4.967
-2.609 -5.465 1.354
Sm Pu Au
2 1 4
Direct
0.500 0.500 0.000
0.500 0.000 0.500
0.000 0.000 0.000
0.500 0.000 0.000
0.500 0.500 0.500
0.000 0.000 0.500
0.000 0.500 0.000
```

Output
The calculation puts the total energy at -5.776 eV/atom. The total moment comes out at 5.82 μB/f.u. Its volume is 183.8 Å³ per cell. The calculation puts the density at 12.0 g/cm3.



Record 11
## AlFeCl2 (PBE-GGA)

Data for a relaxed structure of AlFeCl2.

The structure in POSCAR format:
```
AlFeCl2
1.0
-0.574 -2.774 1.152
2.983 -0.389 0.551
-1.001 3.476 7.873
Al Fe Cl
1 1 2
Direct
0.500 0.500 0.750
0.500 0.500 0.250
0.000 0.000 0.073
0.000 0.000 0.427
```

Output
The calculation puts the total energy at -4.008 eV/atom. The formation energy without anion corrections is -0.1 eV per formula unit. The total moment comes out at 3.56 μB/f.u. Its volume is 81.0 Å³ per cell. The calculation puts the density at 3.2 g/cm3.



Record 12
## Ca3CoOs (PBE-GGA)

Data for a relaxed structure of Ca3CoOs.

The structure in POSCAR format:
```
Ca3CoOs
1.0
-3.379 3.190 -2.768
-3.818 -3.823 0.255
-1.807 2.113 4.639
Co Ca Os
1 3 1
Direct
0.500 0.500 0.500
0.000 0.500 0.000
0.000 0.000 0.500
0.500 0.000 0.000
0.000 0.000 0.000
```

Output
The calculation puts the total energy at -3.941 eV/atom. The total moment comes out at 1.21 μB/f.u. Its volume is 158.2 Å³ per cell. The calculation puts the density at 3.9 g/cm3.